1.
# UBeOs

UBeOs after structural relaxation (PBE-GGA, OQMD via LeMat-Bulk).

abc: 6.1347 6.1347 6.1347
angles: 90.00 90.00 90.00
Space group F-43m (No. 216)
Symmetry-distinct sites (fractional):
U (0.0000, 0.0000, 0.0000) [4 per cell]
Be (0.0000, 0.0000, 0.5000) [4 per cell]
Os (0.2500, 0.2500, 0.7500) [4 per cell]

## Properties
total energy: -8.301 eV per atom
crystal system: cubic
polymorph energy (0 for the lowest one): 135 meV per atom

---

2.
# Zr2Ni3P3

Zr2Ni3P3 after structural relaxation (PBE-GGA, OQMD via LeMat-Bulk).

abc: 12.3603 3.6289 10.0373
angles: 90.00 90.00 90.00
Space group Pnma (No. 62)
Symmetry-distinct sites (fractional):
Zr (0.0049, 0.2500, 0.1623) [4 per cell]
Zr (0.2085, 0.7500, 0.5747) [4 per cell]
Ni (0.0165, 0.2500, 0.5962) [4 per cell]
Ni (0.1654, 0.7500, 0.2740) [4 per cell]
Ni (0.2182, 0.7500, 0.8647) [4 per cell]
P (0.1015, 0.2500, 0.3976) [4 per cell]
P (0.1290, 0.7500, 0.0539) [4 per cell]
P (0.1451, 0.2500, 0.7637) [4 per cell]

## Properties
total energy: -7.306 eV per atom
crystal system: orthorhombic

---

3.
# Ba4AcHg5

Ba4AcHg5 after structural relaxation (PBE-GGA, OQMD via LeMat-Bulk).

abc: 4.1462 4.1462 20.8344
angles: 90.00 90.00 90.00
Space group P4/mmm (No. 123)
Symmetry-distinct sites (fractional):
Ba (0.0000, 0.0000, 0.1014) [2 per cell]
Ba (0.0000, 0.0000, 0.3045) [2 per cell]
Ac (0.0000, 0.0000, 0.5000) [1 per cell]
Hg (0.5000, 0.5000, 0.0000) [1 per cell]
Hg (0.5000, 0.5000, 0.2023) [2 per cell]
Hg (0.5000, 0.5000, 0.4100) [2 per cell]

## Properties
total energy: -1.848 eV per atom
crystal system: tetragonal

---

4.
# Er5Os2

Er5Os2 after structural relaxation (PBE-GGA, OQMD via LeMat-Bulk).

abc: 15.4009 6.2935 7.3228
angles: 90.00 97.55 90.00
Space group C2/c (No. 15)
Symmetry-distinct sites (fractional):
Er (0.0000, 0.0801, 0.2500) [4 per cell]
Er (0.0909, 0.3842, 0.9168) [8 per cell]
Er (0.2181, 0.0765, 0.3187) [8 per cell]
Os (0.1097, 0.2130, 0.5791) [8 per cell]

## Properties
total energy: -6.779 eV per atom
crystal system: monoclinic
ΔH_f (0 K): -312.4 meV per atom

---

5.
# TmZnAu

TmZnAu after structural relaxation (PBE-GGA, OQMD via LeMat-Bulk).

abc: 6.3927 6.3927 6.3927
angles: 90.00 90.00 90.00
Space group F-43m (No. 216)
Symmetry-distinct sites (fractional):
Tm (0.0000, 0.0000, 0.0000) [4 per cell]
Zn (0.2500, 0.2500, 0.7500) [4 per cell]
Au (0.0000, 0.0000, 0.5000) [4 per cell]

## Properties
total energy: -3.362 eV per atom
crystal system: cubic
ΔH_f (0 K): -360.4 meV per atom

---

6.
# Gd2ErIn3Cu3

Gd2ErIn3Cu3 after structural relaxation (PBE-GGA, OQMD via LeMat-Bulk).

abc: 3.8821 13.0530 7.5439
angles: 90.00 90.00 90.00
Space group Amm2 (No. 38)
Symmetry-distinct sites (fractional):
Gd (0.0000, 0.2051, 0.0000) [4 per cell]
Er (0.0000, 0.0000, 0.3849) [2 per cell]
In (0.5000, 0.0000, 0.0512) [2 per cell]
In (0.5000, 0.1271, 0.6657) [4 per cell]
Cu (0.0000, 0.0000, 0.7934) [2 per cell]
Cu (0.5000, 0.1652, 0.2950) [4 per cell]

## Properties
total energy: -4.108 eV per atom
crystal system: orthorhombic

---

7.
# RbLaDy

RbLaDy after structural relaxation (PBE-GGA, OQMD via LeMat-Bulk).

abc: 8.5937 8.5937 8.5937
angles: 90.00 90.00 90.00
Space group F-43m (No. 216)
Symmetry-distinct sites (fractional):
Rb (0.0000, 0.0000, 0.0000) [4 per cell]
La (0.0000, 0.0000, 0.5000) [4 per cell]
Dy (0.2500, 0.2500, 0.7500) [4 per cell]

## Properties
total energy: -2.339 eV per atom
crystal system: cubic

---

8.
# SrGe2Au2

SrGe2Au2 after structural relaxation (PBE-GGA, OQMD via LeMat-Bulk).

abc: 4.5682 4.5682 10.9328
angles: 90.00 90.00 90.00
Space group I4/mmm (No. 139)
Symmetry-distinct sites (fractional):
Sr (0.0000, 0.0000, 0.0000) [2 per cell]
Ge (0.0000, 0.5000, 0.2500) [4 per cell]
Au (0.0000, 0.0000, 0.3730) [4 per cell]

## Properties
total energy: -3.940 eV per atom
crystal system: tetragonal

---

9.
# Nb2PbAuS4

Nb2PbAuS4 after structural relaxation (PBE-GGA, OQMD via LeMat-Bulk).

abc: 3.3759 3.3759 16.7182
angles: 90.00 90.00 120.00
Space group P-3m1 (No. 164)
Symmetry-distinct sites (fractional):
Nb (0.3333, 0.6667, 0.2677) [2 per cell]
Pb (0.0000, 0.0000, 0.0000) [1 per cell]
Au (0.0000, 0.0000, 0.5000) [1 per cell]
S (0.0000, 0.0000, 0.1750) [2 per cell]
S (0.0000, 0.0000, 0.3599) [2 per cell]

## Properties
total energy: -6.301 eV per atom
crystal system: trigonal

---

10.
# DyMg

DyMg after structural relaxation (PBE-GGA, OQMD via LeMat-Bulk).

abc: 3.3861 3.3861 5.6138
angles: 90.00 90.00 120.00
Space group P-6m2 (No. 187)
Symmetry-distinct sites (fractional):
Dy (0.0000, 0.0000, 0.0000) [1 per cell]
Mg (0.6667, 0.3333, 0.5000) [1 per cell]

## Properties
total energy: -3.002 eV per atom
crystal system: hexagonal

---

11.
# DyHo2Al2Zn3Cd

DyHo2Al2Zn3Cd after structural relaxation (PBE-GGA, OQMD via LeMat-Bulk).

abc: 4.4623 12.1263 6.9862
angles: 90.00 90.00 90.00
Space group Amm2 (No. 38)
Symmetry-distinct sites (fractional):
Dy (0.0000, 0.0000, 0.0000) [2 per cell]
Ho (0.0000, 0.2162, 0.3522) [4 per cell]
Al (0.5000, 0.1670, 0.0682) [4 per cell]
Zn (0.5000, 0.0000, 0.3195) [2 per cell]
Zn (0.5000, 0.1243, 0.6922) [4 per cell]
Cd (0.0000, 0.0000, 0.5669) [2 per cell]

## Properties
total energy: -3.262 eV per atom
crystal system: orthorhombic

---

12.
# HfBeFeSb

HfBeFeSb after structural relaxation (PBE-GGA, OQMD via LeMat-Bulk).

abc: 6.3514 6.3514 6.3514
angles: 90.00 90.00 90.00
Space group F-43m (No. 216)
Symmetry-distinct sites (fractional):
Hf (0.0000, 0.0000, 0.0000) [4 per cell]
Be (0.2500, 0.2500, 0.7500) [4 per cell]
Fe (0.0000, 0.0000, 0.5000) [4 per cell]
Sb (0.2500, 0.2500, 0.2500) [4 per cell]

## Properties
total energy: -6.234 eV per atom
crystal system: cubic
polymorph energy (0 for the lowest one): 240 meV per atom

---

13.
# K2RbAgCl6

K2RbAgCl6 after structural relaxation (PBE-GGA, OQMD via LeMat-Bulk).

abc: 10.9728 10.9728 10.9728
angles: 90.00 90.00 90.00
Space group Fm-3m (No. 225)
Symmetry-distinct sites (fractional):
K (0.2500, 0.2500, 0.2500) [8 per cell]
Rb (0.0000, 0.0000, 0.0000) [4 per cell]
Ag (0.0000, 0.0000, 0.5000) [4 per cell]
Cl (0.0000, 0.0000, 0.2727) [24 per cell]

## Properties
total energy: -2.846 eV per atom
crystal system: cubic

---

14.
# Na4AgGe2Pd

Na4AgGe2Pd after structural relaxation (PBE-GGA, OQMD via LeMat-Bulk).

abc: 4.7946 4.7946 6.8091
angles: 90.00 90.00 90.00
Space group P-4m2 (No. 115)
Symmetry-distinct sites (fractional):
Na (0.0000, 0.0000, 0.0000) [1 per cell]
Na (0.0000, 0.5000, 0.7461) [2 per cell]
Na (0.5000, 0.5000, 0.5000) [1 per cell]
Ag (0.5000, 0.5000, 0.0000) [1 per cell]
Ge (0.0000, 0.5000, 0.2698) [2 per cell]
Pd (0.0000, 0.0000, 0.5000) [1 per cell]

## Properties
total energy: -2.896 eV per atom
crystal system: tetragonal

---

15.
# Y3Er2Lu2Ni2Te2

Y3Er2Lu2Ni2Te2 after structural relaxation (PBE-GGA, OQMD via LeMat-Bulk).

abc: 3.8342 15.4559 9.4958
angles: 90.00 90.00 90.00
Space group Imm2 (No. 44)
Symmetry-distinct sites (fractional):
Y (0.0000, 0.0000, 0.0000) [2 per cell]
Y (0.0000, 0.3149, 0.6232) [4 per cell]
Er (0.0000, 0.3525, 0.2702) [4 per cell]
Lu (0.0000, 0.1338, 0.4186) [4 per cell]
Ni (0.0000, 0.2402, 0.9261) [4 per cell]
Te (0.0000, 0.0000, 0.6610) [2 per cell]
Te (0.0000, 0.5000, 0.7696) [2 per cell]

## Properties
total energy: -5.675 eV per atom
crystal system: orthorhombic
polymorph energy (0 for the lowest one): 20 meV per atom

---

16.
# Nd3Y3Te2Pt

Nd3Y3Te2Pt after structural relaxation (PBE-GGA, OQMD via LeMat-Bulk).

abc: 8.6395 8.6395 3.9712
angles: 90.00 90.00 120.00
Space group P-62m (No. 189)
Symmetry-distinct sites (fractional):
Nd (0.0000, 0.7506, 0.0000) [3 per cell]
Y (0.0000, 0.4056, 0.5000) [3 per cell]
Te (0.3333, 0.6667, 0.0000) [2 per cell]
Pt (0.0000, 0.0000, 0.5000) [1 per cell]

## Properties
total energy: -5.971 eV per atom
crystal system: hexagonal
polymorph energy (0 for the lowest one): 97 meV per atom

---

17.
# NpBeGe

NpBeGe after structural relaxation (PBE-GGA, OQMD via LeMat-Bulk).

abc: 6.1951 6.1951 6.1951
angles: 90.00 90.00 90.00
Space group F-43m (No. 216)
Symmetry-distinct sites (fractional):
Np (0.0000, 0.0000, 0.0000) [4 per cell]
Be (0.0000, 0.0000, 0.5000) [4 per cell]
Ge (0.2500, 0.2500, 0.7500) [4 per cell]

## Properties
total energy: -6.634 eV per atom
crystal system: cubic

---

18.
# BaHoTlTe3

BaHoTlTe3 after structural relaxation (PBE-GGA, OQMD via LeMat-Bulk).

abc: 4.6199 15.3531 11.9984
angles: 90.00 90.00 90.00
Space group Cmcm (No. 63)
Symmetry-distinct sites (fractional):
Ba (0.0000, 0.2388, 0.2500) [4 per cell]
Ho (0.0000, 0.0000, 0.0000) [4 per cell]
Tl (0.0000, 0.4628, 0.7500) [4 per cell]
Te (0.0000, 0.0935, 0.7500) [4 per cell]
Te (0.0000, 0.3587, 0.5227) [8 per cell]

## Properties
total energy: -4.085 eV per atom
crystal system: orthorhombic

---

| no. | calculated density (g cm⁻³) |
| --- | --- |
| 1 | 12.6 |
| 2 | 6.7 |
| 3 | 8.2 |
| 4 | 11.5 |
| 5 | 11.0 |
| 6 | 8.8 |
| 7 | 4.0 |
| 8 | 9.1 |
| 9 | 7.2 |
| 10 | 5.6 |
| 11 | 7.5 |
| 12 | 9.5 |
| 13 | 2.4 |
| 14 | 4.8 |
| 15 | 7.8 |
| 16 | 7.4 |
| 17 | 8.9 |
| 18 | 6.9 |